PrTmSc2Sb4: optimized geometry, PBE-GGA.

## Properties
As for the space group: P2/m (10). As for the formation energy (no corrections): -1.014 eV/atom.

a = 7.4525 Å, b = 4.3170 Å, c = 7.4694 Å
α = 90.00°, β = 109.55°, γ = 90.00°
Sites, in units of the cell vectors:
Pr (0.0000, 0.0000, 0.0000)
Tm (0.0000, 0.5000, 0.5000)
Sc (0.5000, 0.0000, 0.5000)
Sc (0.5000, 0.5000, 0.0000)
Sb (0.2663, 0.0000, 0.7486)
Sb (0.2714, 0.5000, 0.2639)
Sb (0.7286, 0.5000, 0.7361)
Sb (0.7337, 0.0000, 0.2514)

=====

ReSi: optimized geometry, PBE-GGA.

## Properties
As for the space group: F-43m (216). As for the formation energy (no corrections): 1.167 eV/atom.

a = 3.8738 Å, b = 3.8738 Å, c = 3.8738 Å
α = 60.00°, β = 60.00°, γ = 60.00°
Sites, in units of the cell vectors:
Re (0.0000, 0.0000, 0.0000)
Si (0.2500, 0.2500, 0.2500)

=====

SrGe3Pt3: optimized geometry, PBE-GGA.

## Properties
As for the space group: Pm-3n (223). For the formation enthalpy at 0 K, the calculation gives -0.54 eV per atom.

a = 6.9054 Å, b = 6.9054 Å, c = 6.9054 Å
α = 90.00°, β = 90.00°, γ = 90.00°
Sites, in units of the cell vectors:
Sr (0.0000, 0.0000, 0.0000)
Sr (0.5000, 0.5000, 0.5000)
Ge (0.0000, 0.2500, 0.5000)
Ge (0.0000, 0.7500, 0.5000)
Ge (0.2500, 0.5000, 0.0000)
Ge (0.5000, 0.0000, 0.2500)
Ge (0.5000, 0.0000, 0.7500)
Ge (0.7500, 0.5000, 0.0000)
Pt (0.0000, 0.5000, 0.2500)
Pt (0.0000, 0.5000, 0.7500)
Pt (0.2500, 0.0000, 0.5000)
Pt (0.5000, 0.2500, 0.0000)
Pt (0.5000, 0.7500, 0.0000)
Pt (0.7500, 0.0000, 0.5000)

=====

InFeW3: optimized geometry, PBE-GGA.

## Properties
The value obtained for the energy above the lowest structure with this stoichiometry is 0.0000 eV/atom. As for the space group: Pm-3m (221). For the formation enthalpy at 0 K, the calculation gives 1.25 eV per atom.

a = 4.5108 Å, b = 4.5108 Å, c = 4.5108 Å
α = 90.00°, β = 90.00°, γ = 90.00°
Sites, in units of the cell vectors:
In (0.0000, 0.0000, 0.0000)
Fe (0.5000, 0.5000, 0.5000)
W (0.0000, 0.5000, 0.5000)
W (0.5000, 0.0000, 0.5000)
W (0.5000, 0.5000, 0.0000)

=====

CaSiBr3: optimized geometry, PBE-GGA.

## Properties
The value obtained for the energy above the lowest structure with this stoichiometry is 0.0000 eV/atom. As for the space group: Pm-3m (221). As for the formation energy (no corrections): -0.566 eV/atom.

a = 5.5973 Å, b = 5.5973 Å, c = 5.5973 Å
α = 90.00°, β = 90.00°, γ = 90.00°
Sites, in units of the cell vectors:
Ca (0.0000, 0.0000, 0.0000)
Si (0.5000, 0.5000, 0.5000)
Br (0.0000, 0.0000, 0.5000)
Br (0.0000, 0.5000, 0.0000)
Br (0.5000, 0.0000, 0.0000)

=====

Na2HoSn3Te6: optimized geometry, PBE-GGA.

## Properties
As for the space group: C2/m (12). As for the formation energy (no corrections): -0.666 eV/atom.

a = 7.7511 Å, b = 7.7511 Å, c = 7.8615 Å
α = 99.47°, β = 99.47°, γ = 119.98°
Sites, in units of the cell vectors:
Na (0.1675, 0.8325, 0.0000)
Na (0.8325, 0.1675, 0.0000)
Ho (0.5000, 0.5000, 0.0000)
Sn (0.0000, 0.0000, 0.5000)
Sn (0.3368, 0.6632, 0.5000)
Sn (0.6632, 0.3368, 0.5000)
Te (0.0989, 0.4162, 0.7530)
Te (0.2653, 0.2653, 0.2550)
Te (0.4162, 0.0989, 0.7530)
Te (0.5838, 0.9011, 0.2470)
Te (0.7347, 0.7347, 0.7450)
Te (0.9011, 0.5838, 0.2470)

=====

Zn2CdCu: optimized geometry, PBE-GGA.

## Properties
As for the space group: R-3m (166). For the formation enthalpy at 0 K, the calculation gives 0.04 eV per atom.

a = 10.3345 Å, b = 10.3345 Å, c = 10.3345 Å
α = 15.35°, β = 15.35°, γ = 15.35°
Sites, in units of the cell vectors:
Zn (0.2358, 0.2358, 0.2358)
Zn (0.7642, 0.7642, 0.7642)
Cd (0.0000, 0.0000, 0.0000)
Cu (0.5000, 0.5000, 0.5000)

=====

ErTmScHg: optimized geometry, PBE-GGA.

## Properties
As for the space group: F-43m (216). For the formation enthalpy at 0 K, the calculation gives -0.07 eV per atom.

a = 5.2637 Å, b = 5.2637 Å, c = 5.2637 Å
α = 60.00°, β = 60.00°, γ = 60.00°
Sites, in units of the cell vectors:
Er (0.0000, 0.0000, 0.0000)
Tm (0.5000, 0.5000, 0.5000)
Sc (0.2500, 0.2500, 0.2500)
Hg (0.7500, 0.7500, 0.7500)

=====

TaNi2Mo: optimized geometry, PBE-GGA.

## Properties
The value obtained for the energy above the lowest structure with this stoichiometry is 0.2693 eV/atom. As for the space group: F-43m (216). For the formation enthalpy at 0 K, the calculation gives 0.14 eV per atom.

a = 4.3113 Å, b = 4.3113 Å, c = 4.3113 Å
α = 60.00°, β = 60.00°, γ = 60.00°
Sites, in units of the cell vectors:
Ta (0.0000, 0.0000, 0.0000)
Ni (0.2500, 0.2500, 0.2500)
Ni (0.5000, 0.5000, 0.5000)
Mo (0.7500, 0.7500, 0.7500)

=====

Ho2Si3Pt4Rh: optimized geometry, PBE-GGA.

## Properties
As for the space group: P-4m2 (115). As for the formation energy (no corrections): -0.955 eV/atom.

a = 3.9670 Å, b = 3.9670 Å, c = 11.1136 Å
α = 90.00°, β = 90.00°, γ = 90.00°
Sites, in units of the cell vectors:
Ho (0.0000, 0.5000, 0.2470)
Ho (0.5000, 0.0000, 0.7530)
Si (0.0000, 0.0000, 0.0000)
Si (0.0000, 0.5000, 0.6317)
Si (0.5000, 0.0000, 0.3683)
Pt (0.0000, 0.0000, 0.5000)
Pt (0.0000, 0.5000, 0.8392)
Pt (0.5000, 0.0000, 0.1608)
Pt (0.5000, 0.5000, 0.5000)
Rh (0.5000, 0.5000, 0.0000)

=====

Tb2Er3Tm7: optimized geometry, PBE-GGA.

## Properties
The value obtained for the energy above the lowest structure with this stoichiometry is 0.0000 eV/atom. As for the space group: P2/m (10). For the formation enthalpy at 0 K, the calculation gives 0.08 eV per atom.

a = 6.2226 Å, b = 3.4659 Å, c = 17.1396 Å
α = 90.00°, β = 96.27°, γ = 90.00°
Sites, in units of the cell vectors:
Tb (0.0626, 0.0000, 0.1740)
Tb (0.9374, 0.0000, 0.8260)
Er (0.4485, 0.5000, 0.8428)
Er (0.5000, 0.0000, 0.5000)
Er (0.5515, 0.5000, 0.1572)
Tm (0.0000, 0.5000, 0.5000)
Tm (0.2253, 0.0000, 0.6671)
Tm (0.2551, 0.0000, 0.9988)
Tm (0.2752, 0.5000, 0.3355)
Tm (0.7248, 0.5000, 0.6645)
Tm (0.7449, 0.0000, 0.0012)
Tm (0.7747, 0.0000, 0.3329)

=====

ZrTlBr5: optimized geometry, PBE-GGA.

## Properties
As for the space group: Immm (71). As for the formation energy (no corrections): -1.176 eV/atom.

a = 8.0029 Å, b = 8.0029 Å, c = 8.0029 Å
α = 140.24°, β = 109.02°, γ = 84.57°
Sites, in units of the cell vectors:
Zr (0.0000, 0.0000, 0.0000)
Tl (0.5000, 0.5000, 0.0000)
Br (0.0000, 0.5000, 0.5000)
Br (0.2186, 0.2186, 0.0000)
Br (0.2846, 0.0000, 0.2846)
Br (0.7154, 0.0000, 0.7154)
Br (0.7814, 0.7814, 0.0000)

=====

Number 1: total magnetization 0.00 μB/cell. Number 2: total magnetization 1.06 μB/cell. Number 3: total magnetization 0.00 μB/cell. Number 4: total magnetization 0.00 μB/cell. Number 5: total magnetization 1.00 μB/cell. Number 6: total magnetization 0.00 μB/cell. Number 7: total magnetization 0.00 μB/cell. Number 8: total magnetization 0.74 μB/cell. Number 9: total magnetization 1.29 μB/cell. Number 10: total magnetization 0.00 μB/cell. Number 11: total magnetization 0.00 μB/cell. Number 12: total magnetization 0.00 μB/cell.